No. 1
! Mg2Si2Rh PBE relaxed; values from VASP
&SYSTEM
  ibrav = 0, nat = 10, ntyp = 3
/
ATOMIC_SPECIES
Mg 24.30 Mg.upf
Si 28.09 Si.upf
Rh 102.91 Rh.upf
CELL_PARAMETERS angstrom
6.2725 0.0000 0.0000
0.0000 6.2725 0.0000
0.0000 0.0000 4.1591
ATOMIC_POSITIONS angstrom
Mg 2.0283 1.1080 2.0796
Mg 5.1645 2.0283 2.0796
Mg 4.2443 5.1645 2.0796
Mg 1.1080 4.2443 2.0796
Si 0.8346 2.3016 0.0000
Si 3.9709 0.8346 0.0000
Si 5.4379 3.9709 0.0000
Si 2.3016 5.4379 0.0000
Rh 0.0000 0.0000 0.0000
Rh 3.1363 3.1363 0.0000
! Energy relative to the elements, uncorrected: -0.460 eV per atom
! SG: P4/mbm
! Uncorrected energy: -4.74 eV/atom
! M_tot: 0.00 μB per atom



No. 2
! Mg2SiRh PBE relaxed; values from VASP
&SYSTEM
  ibrav = 0, nat = 8, ntyp = 3
/
ATOMIC_SPECIES
Mg 24.30 Mg.upf
Si 28.09 Si.upf
Rh 102.91 Rh.upf
CELL_PARAMETERS angstrom
9.8805 0.0000 0.0000
0.0000 9.8805 0.0000
4.9403 4.9403 2.2567
ATOMIC_POSITIONS angstrom
Mg 12.3507 4.9387 1.6925
Mg 9.8790 2.4701 0.5642
Mg 7.4104 4.9418 1.6925
Mg 9.8821 7.4104 0.5642
Si 4.9403 4.9403 0.0000
Si 4.9403 9.8805 1.1284
Rh 0.0000 0.0000 0.0000
Rh 9.8805 4.9403 1.1284
! Energy relative to the elements, uncorrected: -0.154 eV per atom
! SG: I4_1/amd
! Uncorrected energy: -4.14 eV/atom
! M_tot: 0.00 μB per atom



No. 3
! SmMgSi2Rh PBE relaxed; values from VASP
&SYSTEM
  ibrav = 0, nat = 5, ntyp = 4
/
ATOMIC_SPECIES
Si 28.09 Si.upf
Rh 102.91 Rh.upf
Sm 150.36 Sm.upf
Mg 24.30 Mg.upf
CELL_PARAMETERS angstrom
-0.4332 3.9282 -0.8817
-1.0046 -0.9642 -3.8022
-4.5612 -1.7367 3.8016
ATOMIC_POSITIONS angstrom
Si -4.1433 -0.1999 1.1454
Si -1.8557 1.4271 -2.0277
Rh -2.8567 1.8367 0.2890
Sm 0.0000 0.0000 0.0000
Mg -3.1423 -0.6095 -1.1713
! Energy relative to the elements, uncorrected: -0.771 eV per atom
! SG: I-4m2
! Uncorrected energy: -5.67 eV/atom
! M_tot: 0.00 μB per atom



No. 4
! MgSi2Sn2Rh5 PBE relaxed; values from VASP
&SYSTEM
  ibrav = 0, nat = 20, ntyp = 4
/
ATOMIC_SPECIES
Sn 118.71 Sn.upf
Rh 102.91 Rh.upf
Si 28.09 Si.upf
Mg 24.30 Mg.upf
CELL_PARAMETERS angstrom
-1.0384 -2.5438 2.0449
-5.1908 -3.7452 -7.2950
7.6542 -5.3108 -2.7197
ATOMIC_POSITIONS angstrom
Sn 1.5902 -2.3828 -2.1567
Sn 4.6298 -5.6063 -4.6232
Sn -2.1664 -3.4497 -5.3916
Sn 0.8733 -6.6733 -7.8581
Rh 1.9238 -7.2070 -5.1202
Rh -0.9708 -6.1789 -5.3112
Rh -0.4988 -4.3928 -2.8497
Rh 3.3079 -3.9273 -0.3374
Rh 5.1230 -5.7533 -1.6873
Rh -3.6980 -5.8465 -6.2827
Rh 2.4469 -9.1298 -7.2466
Rh 2.3958 -5.4209 -2.6587
Rh -3.1146 -3.1445 -2.6251
Rh -1.0218 -2.4701 -0.7234
Si 4.1396 -3.8042 -2.6302
Si -1.6761 -5.2519 -7.3845
Si 3.4294 -6.9849 -6.9476
Si -0.9660 -2.0712 -3.0671
Mg 0.0000 0.0000 0.0000
Mg 1.2317 -4.5280 -5.0074
! Energy relative to the elements, uncorrected: -0.439 eV per atom
! SG: P4/mbm
! Uncorrected energy: -6.16 eV/atom
! M_tot: 0.00 μB per atom



No. 5
! Mg2Si2SnRh5 PBE relaxed; values from VASP
&SYSTEM
  ibrav = 0, nat = 20, ntyp = 4
/
ATOMIC_SPECIES
Mg 24.30 Mg.upf
Rh 102.91 Rh.upf
Si 28.09 Si.upf
Sn 118.71 Sn.upf
CELL_PARAMETERS angstrom
3.4055 0.0000 0.0000
0.0000 9.5819 0.0000
0.0000 0.0000 9.5819
ATOMIC_POSITIONS angstrom
Mg 0.0000 1.6482 3.1428
Mg 0.0000 6.4391 1.6482
Mg 0.0000 7.9337 6.4391
Mg 0.0000 3.1428 7.9337
Rh 1.7027 7.5674 8.8627
Rh 1.7027 0.7192 7.5674
Rh 1.7027 2.0146 0.7192
Rh 1.7027 4.7910 0.0000
Rh 1.7027 5.5102 6.8055
Rh 1.7027 2.7764 5.5102
Rh 1.7027 6.8055 4.0717
Rh 1.7027 4.0717 2.7764
Rh 1.7027 0.0000 4.7910
Rh 1.7027 8.8627 2.0146
Si 0.0000 8.3714 3.5804
Si 0.0000 1.2105 6.0015
Si 0.0000 6.0015 8.3714
Si 0.0000 3.5804 1.2105
Sn 0.0000 4.7910 4.7910
Sn 0.0000 0.0000 0.0000
! Energy relative to the elements, uncorrected: -0.725 eV per atom
! SG: P4/mbm
! Uncorrected energy: -6.20 eV/atom
! M_tot: 0.00 μB per atom



No. 6
! SrMg2SiRh2 PBE relaxed; values from VASP
&SYSTEM
  ibrav = 0, nat = 6, ntyp = 4
/
ATOMIC_SPECIES
Rh 102.91 Rh.upf
Mg 24.30 Mg.upf
Si 28.09 Si.upf
Sr 87.62 Sr.upf
CELL_PARAMETERS angstrom
4.5604 0.0000 0.0000
0.0000 4.5604 0.0000
0.0000 0.0000 6.3281
ATOMIC_POSITIONS angstrom
Rh 0.0000 2.2802 0.0000
Rh 2.2802 0.0000 0.0000
Mg 2.2802 2.2802 4.7861
Mg 2.2802 2.2802 1.5420
Si 0.0000 0.0000 0.0000
Sr 0.0000 0.0000 3.1641
! Energy relative to the elements, uncorrected: -0.455 eV per atom
! SG: P4/mmm
! Uncorrected energy: -4.62 eV/atom
! M_tot: 0.01 μB per atom



V across the listed records, respectively: 163.6; 220.3; 89.9; 322.6; 312.7; 131.6 Å³ per cell.